Hg2SO, optimized geometry, DFT PBE; E = -2.566 eV per atom; space group = No. 122
1.0
5.638 0.000 0.000
0.000 5.638 0.000
2.819 2.819 5.651
S Hg O
2 4 2
Direct
0.000 0.000 0.000 S
0.750 0.250 0.500 S
0.584 0.125 0.250 Hg
0.166 0.625 0.250 Hg
0.375 0.416 0.750 Hg
0.875 0.834 0.750 Hg
0.500 0.500 0.000 O
0.250 0.750 0.500 O